The following is a DFT calculation (meta-GGA SCAN) of a crystal of ZrTe2As relaxed with PBEsol.

- DOS(E_F) (states/eV/cell) = 1.514
- calculated volume (Å³ per cell) = 93.57
- crystal system = monoclinic
- energy relative to the elements, uncorrected (meV per atom) = -461
- total energy (eV/atom) = -31.809

Cell lengths 3.769, 4.730, 5.571 Å; angles 90.00, 109.60, 90.00 degrees
Space group Pm (No. 6)
Inequivalent atoms, fractional coordinates:
Zr (0.000, 0.000, 0.000) [1 per cell]
Te (0.416, 0.500, 0.830) [1 per cell]
Te (0.714, 0.000, 0.430) [1 per cell]
As (0.135, 0.500, 0.273) [1 per cell]